(1)
Below is crystalline ScTaIn2F at its relaxed geometry, with properties calculated at the PBE-GGA level.

Calculated values
**Formation energy (no corrections)**: 368 meV per atom
**Density**: 5.3 g/cm³
**Total DFT energy (no corrections)**: -4.739 eV per atom
**SG**: No. 123

POSCAR file:
```
ScTaIn2F
1.0
5.421 0.000 0.000
0.000 5.421 0.000
0.000 0.000 5.085
In Sc Ta F
2 1 1 1
Direct
0.000 0.500 0.000
0.500 0.000 0.000
0.000 0.000 0.500
0.000 0.000 0.000
0.500 0.500 0.500
```

(2)
Below is crystalline ScInTe2F at its relaxed geometry, with properties calculated at the PBE-GGA level.

Calculated values
**Formation energy (no corrections)**: -1395 meV per atom
**Density**: 5.4 g/cm³
**Total DFT energy (no corrections)**: -4.839 eV per atom
**SG**: No. 123

POSCAR file:
```
ScInTe2F
1.0
5.769 0.000 0.000
0.000 5.769 0.000
0.000 0.000 4.037
In Te Sc F
1 2 1 1
Direct
0.500 0.500 0.500
0.000 0.500 0.000
0.500 0.000 0.000
0.000 0.000 0.000
0.000 0.000 0.500
```

(3)
Below is crystalline ScInTeF2 at its relaxed geometry, with properties calculated at the PBE-GGA level.

Calculated values
**Formation energy (no corrections)**: -2128 meV per atom
**Density**: 4.9 g/cm³
**Total DFT energy (no corrections)**: -5.319 eV per atom
**SG**: No. 123

POSCAR file:
```
ScInTeF2
1.0
4.349 0.000 0.000
0.000 4.349 0.000
0.000 0.000 5.826
Sc F Te In
1 2 1 1
Direct
0.000 0.000 0.000
0.500 0.000 0.000
0.000 0.500 0.000
0.000 0.000 0.500
0.500 0.500 0.500
```

| no. | density of states at the Fermi level (states/eV per atom) |
| --- | --- |
| 1 | 1.128 |
| 2 | 0.606 |
| 3 | 0.207 |